LiCr2Tc at its PBEsol-relaxed geometry. Source: Alexandria, functional meta-GGA SCAN.

abc: 2.900 2.900 5.860
angles: 90.00 90.00 90.00
Site moments in Bohr magnetons follow the coordinates.
Positions (direct):
Tc 0.500 0.500 0.763  0.81
Cr 0.500 0.500 0.238  2.92
Cr 0.000 0.000 0.003  -1.57
Li 0.000 0.000 0.495  0.00

## Properties
The formation enthalpy at 0 K comes out at 262 meV/atom. Its crystal system is tetragonal.

***

CsBePO2 at its PBEsol-relaxed geometry. Source: Alexandria, functional meta-GGA SCAN.

abc: 4.147 4.147 5.823
angles: 90.00 90.00 90.00
Positions (direct):
O 0.500 0.000 0.000
O 0.000 0.500 0.000
Cs 0.000 0.000 0.000
Be 0.500 0.500 0.500
P 0.000 0.000 0.500

## Properties
As for the energy above the most stable polymorph in this dataset: 124.9 kJ/mol of atoms. Its crystal system is tetragonal.

***

BeCrIO2 at its PBEsol-relaxed geometry. Source: Alexandria, functional meta-GGA SCAN.

abc: 3.614 3.614 6.282
angles: 90.00 90.00 90.00
Site moments in Bohr magnetons follow the coordinates.
Positions (direct):
I 0.000 0.000 0.500  0.04
Be 0.500 0.500 0.500  0.01
O 0.000 0.500 0.000  -0.16
O 0.500 0.000 0.000  -0.16
Cr 0.000 0.000 0.000  2.43

## Properties
For the total energy, the calculation gives -15.0522 eV/atom. Its crystal system is tetragonal.

***

CaTiCuW2 at its PBEsol-relaxed geometry. Source: Alexandria, functional meta-GGA SCAN.

abc: 4.580 4.580 4.848
angles: 90.00 90.00 90.00
Positions (direct):
W 0.500 0.000 0.000
W 0.000 0.500 0.000
Ca 0.500 0.500 0.500
Ti 0.000 0.000 0.000
Cu 0.000 0.000 0.500

## Properties
The formation enthalpy at 0 K comes out at 1425 meV/atom. Its crystal system is tetragonal.

***

BaYMo2 at its PBEsol-relaxed geometry. Source: Alexandria, functional meta-GGA SCAN.

abc: 3.288 3.288 9.177
angles: 90.00 90.00 90.00
Positions (direct):
Mo 0.500 0.500 0.209
Mo 0.000 0.000 0.074
Ba 0.500 0.500 0.799
Y 0.000 0.000 0.418

## Properties
The formation enthalpy at 0 K comes out at 481 meV/atom. As for the energy above the most stable polymorph in this dataset: 0.0 kJ/mol of atoms. Its crystal system is tetragonal.

***

Cd2AgRh at its PBEsol-relaxed geometry. Source: Alexandria, functional meta-GGA SCAN.

abc: 3.060 3.060 7.229
angles: 90.00 90.00 90.00
Positions (direct):
Ag 0.500 0.500 0.500
Rh 0.500 0.500 0.000
Cd 0.000 0.000 0.765
Cd 0.000 0.000 0.235

## Properties
The formation enthalpy at 0 K comes out at -103 meV/atom. As for the energy above the most stable polymorph in this dataset: 2.4 kJ/mol of atoms. Its crystal system is tetragonal.